VASP calculation (GGA-PBE) on TbDyGaNi after structural relaxation.

## Properties
calculated density = 8.73 g cm⁻³
M_tot = 0.00 μB per formula unit
crystal system = cubic
ΔE to the lowest computed polymorph = 51 meV/atom
energy of formation from the pure elements = -0.442 eV per atom
volume = 21.39 A^3/atom
density of states at the Fermi level = 3.64 states/eV per cell

Geometry as POSCAR:
```
TbDyGaNi
1.0
0.000 3.497 3.497
3.497 0.000 3.497
3.497 3.497 0.000
Tb Dy Ga Ni
1 1 1 1
direct
0.000 0.000 0.000
0.500 0.500 0.500
0.250 0.250 0.250
0.750 0.750 0.750
```



VASP calculation (GGA-PBE) on Cs2HoPuO6 after structural relaxation.

## Properties
calculated density = 7.58 g cm⁻³
M_tot = 1.00 μB per formula unit
crystal system = cubic
ΔE_f (raw) = -2.4634 eV/atom
volume = 16.89 A^3/atom

Geometry as POSCAR:
```
Cs2HoPuO6
1.0
0.000 4.387 4.387
4.387 0.000 4.387
4.387 4.387 0.000
Cs Ho Pu O
2 1 1 6
direct
0.250 0.250 0.250
0.750 0.750 0.750
0.000 0.000 0.000
0.500 0.500 0.500
0.266 0.266 0.734
0.266 0.734 0.266
0.266 0.734 0.734
0.734 0.266 0.266
0.734 0.266 0.734
0.734 0.734 0.266
```



What did the first record say?
VASP calculation (GGA-PBE) on TbDyGaNi after structural relaxation.

## Properties
calculated density = 8.73 g cm⁻³
M_tot = 0.00 μB per formula unit
crystal system = cubic
ΔE to the lowest computed polymorph = 51 meV/atom
energy of formation from the pure elements = -0.442 eV per atom
volume = 21.39 A^3/atom
density of states at the Fermi level = 3.64 states/eV per cell

Geometry as POSCAR:
```
TbDyGaNi
1.0
0.000 3.497 3.497
3.497 0.000 3.497
3.497 3.497 0.000
Tb Dy Ga Ni
1 1 1 1
direct
0.000 0.000 0.000
0.500 0.500 0.500
0.250 0.250 0.250
0.750 0.750 0.750
```